CuBi2Te: optimized geometry, PBE.

Computed properties:
Uncorrected energy   -13.53 eV/cell

a b c (Å): 5.345 5.345 5.345
angles (deg): 60.00 60.00 60.00
Fractional positions:
Bi1 0.000 0.000 0.000
Bi2 0.750 0.750 0.750
Te1 0.500 0.500 0.500
Cu1 0.250 0.250 0.250